# PaZnTcPt (PBE, optimized geometry)
data_PaZnTcPt
_cell_length_a 6.609
_cell_length_b 6.609
_cell_length_c 6.609
_cell_angle_alpha 90.00
_cell_angle_beta 90.00
_cell_angle_gamma 90.00
_symmetry_space_group_name_H-M 'F -4 3 m'
_symmetry_Int_Tables_number 216
_symmetry_space_group_name_Hall 'F -4 2 3'
loop_
_atom_site_label
_atom_site_fract_x
_atom_site_fract_y
_atom_site_fract_z
_atom_site_occupancy
Pa1 0.000 0.000 0.000 1
Zn1 0.000 0.000 0.500 1
Tc1 0.250 0.250 0.250 1
Pt1 0.250 0.250 0.750 1
# formation enthalpy at 0 K = -0.37 eV per atom
# total moment = 0.00 μB/f.u.